[1]
Y3ZnGe, optimized geometry, DFT PBE-GGA; ΔH_f (0 K) = -16 kJ/mol of formula units; M_tot = 1.29 Bohr magnetons per cell; space group = Pm-3m (221)
1.0
5.424 0.000 0.000
0.000 5.424 0.000
0.000 0.000 5.424
Y Zn Ge
3 1 1
direct
0.000 0.000 0.500
0.000 0.500 0.000
0.500 0.000 0.000
0.500 0.500 0.500
0.000 0.000 0.000

[2]
YZnGe2, optimized geometry, DFT PBE-GGA; ΔH_f (0 K) = -168 kJ/mol of formula units; M_tot = 0.00 Bohr magnetons per cell; space group = P4/mmm (123)
1.0
4.354 0.000 0.000
0.000 4.354 0.000
0.000 0.000 4.106
Y Zn Ge
1 1 2
direct
0.000 0.000 0.000
0.500 0.500 0.000
0.000 0.500 0.500
0.500 0.000 0.500

[3]
YZn2Ge2, optimized geometry, DFT PBE-GGA; ΔH_f (0 K) = -68 kJ/mol of formula units; M_tot = 0.00 Bohr magnetons per cell; space group = P4/mbm (127)
1.0
7.650 0.000 0.000
0.000 7.650 0.000
0.000 0.000 3.298
Y Zn Ge
2 4 4
direct
0.000 0.000 0.000
0.500 0.500 0.000
0.153 0.347 0.500
0.347 0.847 0.500
0.653 0.153 0.500
0.847 0.653 0.500
0.140 0.640 0.000
0.360 0.140 0.000
0.640 0.860 0.000
0.860 0.360 0.000